1.
MnTl2AgSb: optimized geometry, PBE-GGA.

Cell and atoms, written as POSCAR:
```
MnTl2AgSb
1.0
5.225 0.000 0.000
0.000 5.225 0.000
0.000 0.000 5.143
Mn Tl Ag Sb
1 2 1 1
Direct
0.000 0.000 0.000
0.000 0.500 0.000
0.500 0.000 0.000
0.000 0.000 0.500
0.500 0.500 0.500
```

M_tot	4.0	μB per formula unit
energy relative to the elements, uncorrected	0.60	eV per atom
E_tot	-3.58	eV/atom

2.
Mn2NiC2: optimized geometry, PBE-GGA.

Cell and atoms, written as POSCAR:
```
Mn2NiC2
1.0
5.621 0.000 0.000
0.000 5.621 0.000
0.000 0.000 2.635
Mn Ni C
4 2 4
Direct
0.146 0.354 0.000
0.354 0.854 0.000
0.646 0.146 0.000
0.854 0.646 0.000
0.000 0.000 0.500
0.500 0.500 0.500
0.156 0.656 0.500
0.344 0.156 0.500
0.656 0.844 0.500
0.844 0.344 0.500
```

M_tot	2.7	μB per formula unit
energy of formation	360.4	meV/atom
E_tot	-8.15	eV/atom

3.
AlCd2Sn: optimized geometry, PBE-GGA.

Cell and atoms, written as POSCAR:
```
AlCd2Sn
1.0
0.000 3.618 3.618
3.618 0.000 3.618
3.618 3.618 0.000
Al Cd Sn
1 2 1
Direct
0.000 0.000 0.000
0.250 0.250 0.250
0.750 0.750 0.750
0.500 0.500 0.500
```

M_tot	0.0	μB per formula unit
energy of formation	183.2	meV/atom
E_tot	-2.21	eV/atom

Look up the M_tot of the first one. 4.0 μB per formula unit